# HoFeIrO6 | the Alexandria database | PBE+U | relaxed
# Uncorrected energy = -6.97 eV per atom
# Mass density = 7.92 g/cm3
# Calculated volume = 11.86 A^3/atom
# Density of states at the Fermi level = 4.3 states/eV/f.u.
data_HoFeIrO6
_symmetry_space_group_name_H-M 'P 1'
_symmetry_Int_Tables_number 1
_cell_length_a 5.321
_cell_length_b 5.321
_cell_length_c 8.709
_cell_angle_alpha 90.00
_cell_angle_beta 90.00
_cell_angle_gamma 120.00
loop_
_symmetry_equiv_pos_as_xyz
'x,y,z'
loop_
_atom_site_label
_atom_site_fract_x
_atom_site_fract_y
_atom_site_fract_z
Ho1 0.333 0.667 0.250
Ho2 0.667 0.333 0.750
Fe1 0.000 0.000 0.000
Fe2 0.000 0.000 0.500
Ir1 0.333 0.667 0.750
Ir2 0.667 0.333 0.250
O1 0.039 0.352 0.623
O2 0.039 0.688 0.877
O3 0.312 0.352 0.877
O4 0.312 0.961 0.623
O5 0.352 0.039 0.123
O6 0.352 0.312 0.377
O7 0.648 0.688 0.623
O8 0.648 0.961 0.877
O9 0.688 0.039 0.377
O10 0.688 0.648 0.123
O11 0.961 0.312 0.123
O12 0.961 0.648 0.377